Entry 1:
3
Lattice="-1.651 1.651 4.032 1.651 -1.651 4.032 1.651 1.651 -4.032" Properties=species:S:1:pos:R:3 comment="IrRh2 | Alexandria | PBE | relaxed" formation_energy_ev_per_atom=0.246 e_tot_ev_per_atom=-7.6082 pbc="T T T"
Ir 0.000 0.000 0.000
Rh 0.000 0.000 2.705
Rh 0.000 0.000 5.359

***

Entry 2:
6
Lattice="3.774 0.000 0.000 0.000 3.774 0.000 0.000 0.000 14.252" Properties=species:S:1:pos:R:3 comment="La3Y2Mg | Alexandria | PBE | relaxed" formation_energy_ev_per_atom=-0.009 e_tot_ev_per_atom=-4.8930 pbc="T T T"
La 0.000 0.000 0.000
La 0.000 0.000 4.979
La 0.000 0.000 9.273
Y 1.887 1.887 2.465
Y 1.887 1.887 11.787
Mg 1.887 1.887 7.126